[1]
Here is a relaxed structure of ZrBe6Au6 from Alexandria via LeMat-Bulk. Energies are from PBE-GGA.

Cell and atoms, written as POSCAR:
```
ZrBe6Au6
1.0
-0.342 -3.523 3.335
4.245 -4.837 -1.128
4.074 0.991 5.011
Be Au Zr
6 6 1
Cartesian
2.123 -2.418 -0.564 Be
4.033 -5.188 2.026 Be
1.952 -4.180 1.104 Be
2.037 0.496 2.505 Be
1.866 -1.266 4.173 Be
3.945 -2.181 5.192 Be
6.664 -5.552 5.457 Au
1.314 -1.817 1.762 Au
4.131 -0.941 2.975 Au
5.388 -3.736 3.698 Au
2.589 -3.632 3.521 Au
4.189 -2.904 0.908 Au
0.000 0.000 0.000 Zr
```

Properties
Crystal system   orthorhombic
Symmetry   Immm (71)

---

[2]
Here is a relaxed structure of ZrBe4Au from Alexandria via LeMat-Bulk. Energies are from PBE-GGA.

Cell and atoms, written as POSCAR:
```
ZrBe4Au
1.0
0.000 3.330 3.330
3.330 0.000 3.330
3.330 3.330 0.000
Be Zr Au
4 1 1
Cartesian
2.537 4.122 4.122 Be
4.122 4.122 2.537 Be
4.122 2.537 4.122 Be
2.537 2.537 2.537 Be
4.994 4.994 4.994 Zr
0.000 0.000 0.000 Au
```

Properties
Crystal system   cubic
Symmetry   F-43m (216)

---

[3]
Here is a relaxed structure of Bi5Au from Alexandria via LeMat-Bulk. Energies are from PBE-GGA.

Cell and atoms, written as POSCAR:
```
Bi5Au
1.0
4.400 0.000 0.000
0.000 5.692 0.000
0.000 -2.846 7.215
Bi Au
5 1
Cartesian
0.000 2.846 2.615 Bi
0.000 0.000 4.600 Bi
2.200 2.846 5.252 Bi
2.200 0.000 1.962 Bi
2.200 2.846 0.000 Bi
0.000 0.000 0.000 Au
```

Properties
Crystal system   orthorhombic
Symmetry   Cmmm (65)

---

[4]
Here is a relaxed structure of Bi2Au3 from Alexandria via LeMat-Bulk. Energies are from PBE-GGA.

Cell and atoms, written as POSCAR:
```
Bi2Au3
1.0
6.888 0.000 0.000
3.444 5.965 0.000
3.444 1.988 6.936
Au Bi
6 4
Cartesian
9.516 7.379 5.202 Au
11.965 5.965 5.202 Au
9.516 4.552 5.202 Au
1.812 1.988 1.734 Au
4.260 3.402 1.734 Au
4.260 0.575 1.734 Au
10.332 5.965 2.577 Bi
6.888 3.977 0.891 Bi
6.888 3.977 6.045 Bi
3.444 1.988 4.359 Bi
```

Properties
Crystal system   trigonal
Symmetry   R-3c (167)

---

[5]
Here is a relaxed structure of Bi4Au from Alexandria via LeMat-Bulk. Energies are from PBE-GGA.

Cell and atoms, written as POSCAR:
```
Bi4Au
1.0
-2.142 4.802 1.840
-4.975 -2.440 0.575
1.302 -1.422 5.226
Bi Au
4 1
Cartesian
-1.837 -1.931 2.901 Bi
-3.558 1.181 1.208 Bi
-0.420 1.690 3.533 Bi
0.000 0.000 0.000 Bi
-2.908 0.470 3.821 Au
```

Properties
Crystal system   cubic
Symmetry   Pm-3m (221)

---

[6]
Here is a relaxed structure of Bi3Au4 from Alexandria via LeMat-Bulk. Energies are from PBE-GGA.

Cell and atoms, written as POSCAR:
```
Bi3Au4
1.0
3.592 0.000 0.000
0.000 3.996 0.000
-1.796 -1.998 11.369
Au Bi
4 3
Cartesian
0.000 1.998 9.698 Au
1.796 0.000 1.671 Au
1.796 0.000 5.001 Au
0.000 1.998 6.368 Au
0.000 1.998 0.000 Bi
1.796 0.000 7.999 Bi
0.000 1.998 3.370 Bi
```

Properties
Crystal system   orthorhombic
Symmetry   Immm (71)

---

Number 1: formation enthalpy at 0 K -0.246 eV/atom, total energy -0.152 Ha/atom. Number 2: formation enthalpy at 0 K -0.018 eV/atom, total energy -0.164 Ha/atom. Number 3: formation enthalpy at 0 K 0.118 eV/atom, total energy -0.135 Ha/atom. Number 4: formation enthalpy at 0 K 0.098 eV/atom, total energy -0.126 Ha/atom. Number 5: formation enthalpy at 0 K 0.448 eV/atom, total energy -0.122 Ha/atom. Number 6: formation enthalpy at 0 K 0.052 eV/atom, total energy -0.128 Ha/atom.